# 1
The following is a DFT calculation (PBE) of U3Bi5Te12 after structural relaxation.

Geometry as CIF:
```
data_U3Bi5Te12
_chemical_formula_sum 'U24 Bi40 Te96'
_symmetry_space_group_name_H-M 'I a -3 d'
_symmetry_Int_Tables_number 230
_symmetry_space_group_name_Hall '-I 4bd 2c 3'
_cell_length_a 18.426
_cell_length_b 18.426
_cell_length_c 18.426
_cell_angle_alpha 90.00
_cell_angle_beta 90.00
_cell_angle_gamma 90.00
loop_
_atom_site_label
_atom_site_type_symbol
_atom_site_fract_x
_atom_site_fract_y
_atom_site_fract_z
U1 U 0.000 0.250 0.125
Bi1 Bi 0.000 0.000 0.000
Bi2 Bi 0.000 0.250 0.375
Te1 Te 0.012 0.070 0.654
```


# 2
The following is a DFT calculation (PBE) of NiTe2As after structural relaxation.

Geometry as CIF:
```
data_NiTe2As
_chemical_formula_sum 'Ni2 Te4 As2'
_symmetry_space_group_name_H-M 'C 1 m 1'
_symmetry_Int_Tables_number 8
_symmetry_space_group_name_Hall 'C -2y'
_cell_length_a 10.849
_cell_length_b 3.670
_cell_length_c 5.869
_cell_angle_alpha 90.00
_cell_angle_beta 110.48
_cell_angle_gamma 90.00
loop_
_atom_site_label
_atom_site_type_symbol
_atom_site_fract_x
_atom_site_fract_y
_atom_site_fract_z
Ni1 Ni 0.000 0.000 0.000
Te1 Te 0.135 0.500 0.291
Te2 Te 0.470 0.000 0.681
As1 As 0.371 0.000 0.073
```


| no. | magnetic moment (μB/atom) | uncorrected formation energy (meV/atom) |
| --- | --- | --- |
| 1 | 0.438 | -187.0 |
| 2 | 0.000 | 19.5 |